RhPbWO6 | GGA+U | optimized geometry

Results
Density of states at the Fermi level = 11.272 states/eV per cell
Space group = No. 74
Total DFT energy (no corrections) = -0.2428 Ha/atom

Cell lengths 7.008, 7.374, 7.367 Å; angles 120.03, 118.40, 90.00 degrees
Element x y z (fractional)
Rh 0.500 0.000 0.500
Rh 0.000 0.000 0.500
Pb 0.969 0.719 0.938
Pb 0.031 0.281 0.062
W 0.500 0.500 0.000
W 0.500 0.000 0.000
O 0.437 0.687 0.874
O 0.819 0.069 0.637
O 0.819 0.052 0.229
O 0.410 0.678 0.229
O 0.410 0.052 0.229
O 0.819 0.678 0.229
O 0.563 0.313 0.126
O 0.181 0.931 0.363
O 0.181 0.948 0.771
O 0.590 0.322 0.771
O 0.590 0.948 0.771
O 0.181 0.322 0.771